Record 1
First-principles (PBE) data for crystalline Ac2DySn4Pd3 at its relaxed geometry, as listed in the Alexandria database.

Lattice parameters (Å, degrees): 4.589 4.589 12.308 90.00 90.00 90.00
Space group P-4m2 (No. 115)
Asymmetric unit:
Ac (0.000, 0.500, 0.232) (multiplicity 2)
Dy (0.000, 0.000, 0.500) (multiplicity 1)
Sn (0.000, 0.000, 0.000) (multiplicity 1)
Sn (0.000, 0.500, 0.657) (multiplicity 2)
Sn (0.500, 0.500, 0.000) (multiplicity 1)
Pd (0.000, 0.500, 0.876) (multiplicity 2)
Pd (0.500, 0.500, 0.500) (multiplicity 1)

Values from the calculation:
The calculation puts the energy relative to the elements at -777 meV/atom. As for the crystal system: tetragonal. For the total magnetization, the calculation gives 0.0000 μB per atom.

=====

Record 2
First-principles (PBE) data for crystalline HfGa3P at its relaxed geometry, as listed in the Alexandria database.

Lattice parameters (Å, degrees): 5.204 5.204 5.204 90.00 90.00 90.00
Space group Pm-3m (No. 221)
Asymmetric unit:
Hf (0.000, 0.000, 0.000) (multiplicity 1)
Ga (0.000, 0.000, 0.500) (multiplicity 3)
P (0.500, 0.500, 0.500) (multiplicity 1)

Values from the calculation:
The calculation puts the energy relative to the lowest polymorph listed for this composition at 486 meV per atom. The calculation puts the energy relative to the elements at 990 meV/atom. As for the crystal system: cubic. For the total magnetization, the calculation gives 0.0000 μB per atom.

=====

Record 3
First-principles (PBE) data for crystalline NaLaTa3 at its relaxed geometry, as listed in the Alexandria database.

Lattice parameters (Å, degrees): 4.908 4.908 4.908 90.00 90.00 90.00
Space group Pm-3m (No. 221)
Asymmetric unit:
Na (0.000, 0.000, 0.000) (multiplicity 1)
La (0.500, 0.500, 0.500) (multiplicity 1)
Ta (0.000, 0.000, 0.500) (multiplicity 3)

Values from the calculation:
The calculation puts the energy relative to the lowest polymorph listed for this composition at 0 meV per atom. The calculation puts the energy relative to the elements at 2037 meV/atom. As for the crystal system: cubic. For the total magnetization, the calculation gives 0.0000 μB per atom.

=====

Record 4
First-principles (PBE) data for crystalline Na2Ac5Pb4 at its relaxed geometry, as listed in the Alexandria database.

Lattice parameters (Å, degrees): 23.253 4.935 8.201 90.00 110.57 90.00
Space group C2/m (No. 12)
Asymmetric unit:
Na (0.067, 0.000, 0.067) (multiplicity 4)
Ac (0.000, 0.000, 0.500) (multiplicity 2)
Ac (0.161, 0.500, 0.417) (multiplicity 4)
Ac (0.162, 0.500, 0.907) (multiplicity 4)
Pb (0.000, 0.500, 0.207) (multiplicity 4)
Pb (0.212, 0.000, 0.212) (multiplicity 4)

Values from the calculation:
The calculation puts the energy relative to the elements at -241 meV/atom. As for the crystal system: monoclinic. For the total magnetization, the calculation gives 0.0868 μB per atom.

=====

Record 5
First-principles (PBE) data for crystalline CsGaHgBr2 at its relaxed geometry, as listed in the Alexandria database.

Lattice parameters (Å, degrees): 5.900 5.900 5.346 90.00 90.00 90.00
Space group P4/mmm (No. 123)
Asymmetric unit:
Cs (0.000, 0.000, 0.000) (multiplicity 1)
Ga (0.500, 0.500, 0.500) (multiplicity 1)
Hg (0.500, 0.500, 0.000) (multiplicity 1)
Br (0.000, 0.500, 0.500) (multiplicity 2)

Values from the calculation:
As for the crystal system: tetragonal. The calculation puts the raw total energy at -2.40 eV per atom. For the total magnetization, the calculation gives 0.0000 μB per atom.

=====

Record 6
First-principles (PBE) data for crystalline Ho5TmTh4 at its relaxed geometry, as listed in the Alexandria database.

Lattice parameters (Å, degrees): 3.473 8.652 11.544 109.61 90.00 101.55
Space group P-1 (No. 2)
Asymmetric unit:
Ho (0.000, 0.000, 0.000) (multiplicity 1)
Ho (0.289, 0.580, 0.885) (multiplicity 2)
Ho (0.308, 0.615, 0.416) (multiplicity 2)
Tm (0.000, 0.000, 0.500) (multiplicity 1)
Th (0.099, 0.196, 0.294) (multiplicity 2)
Th (0.412, 0.822, 0.207) (multiplicity 2)

Values from the calculation:
The calculation puts the energy relative to the lowest polymorph listed for this composition at 0 meV per atom. The calculation puts the energy relative to the elements at 107 meV/atom. As for the crystal system: triclinic. For the total magnetization, the calculation gives 0.0000 μB per atom.

=====

Computed volume, in the same sequence as the records: 259.2 141.0 118.2 881.1 186.1 319.3 Å³/cell.